Entry 1:
# TmZn5Rh6

Crystalline TmZn5Rh6 at its relaxed geometry (PBE-GGA, Alexandria).

```
12
Lattice="-3.723 -1.849 -1.303 1.178 -4.898 3.586 -1.294 3.780 5.587" Properties=species:S:1:pos:R:3 pbc="T T T"
Zn -2.315 -2.430 2.772
Zn -0.931 -2.990 6.885
Zn 0.589 -2.449 1.793
Zn -2.908 0.022 0.985
Zn -1.524 -0.537 5.098
Tm 0.000 0.000 0.000
Rh -3.053 -2.692 5.244
Rh -3.625 -0.316 3.503
Rh -2.842 1.552 5.890
Rh -0.997 -4.520 1.980
Rh -0.214 -2.652 4.367
Rh -0.786 -0.275 2.627
```

Summary:
space-group type = P2/m (10)

Entry 2:
# Tm6ZnRh5

Crystalline Tm6ZnRh5 at its relaxed geometry (PBE-GGA, Alexandria).

```
12
Lattice="-3.854 -2.896 0.121 3.258 -4.160 4.199 -2.322 7.202 3.512" Properties=species:S:1:pos:R:3 pbc="T T T"
Zn 0.000 0.000 0.000
Tm -2.852 -0.048 4.849
Tm -4.464 2.011 2.771
Tm -1.827 2.662 6.694
Tm -1.091 -2.515 1.138
Tm 1.546 -1.865 5.061
Tm -0.066 0.194 2.983
Rh -2.796 -0.228 1.942
Rh -1.746 2.449 3.781
Rh 1.629 -2.080 2.099
Rh -1.172 -2.303 4.051
Rh -0.123 0.375 5.890
```

Summary:
space-group type = C2/m (12)

Entry 3:
# Tm12ZnRh6

Crystalline Tm12ZnRh6 at its relaxed geometry (PBE-GGA, Alexandria).

```
19
Lattice="8.109 -0.214 -0.257 -1.441 7.983 -0.257 -1.441 -1.679 7.809" Properties=species:S:1:pos:R:3 pbc="T T T"
Tm 5.232 3.742 3.036
Tm 1.499 5.523 4.224
Tm 2.905 1.962 6.189
Tm -0.005 2.348 4.259
Tm 3.728 0.567 3.071
Tm 2.322 4.128 1.107
Tm -1.246 6.874 2.310
Tm -1.756 3.784 7.070
Tm 4.006 7.163 0.120
Tm 6.473 -0.784 4.986
Tm 6.983 2.306 0.226
Tm 1.221 -1.074 7.176
Zn 0.000 0.000 0.000
Rh 3.817 6.075 2.606
Rh 4.345 2.092 0.853
Rh -0.199 4.365 2.211
Rh 1.410 0.015 4.690
Rh 0.882 3.997 6.443
Rh 5.426 1.725 5.084
```

Summary:
space-group type = R-3 (148)

Entry 4:
# TmZn2Rh3

Crystalline TmZn2Rh3 at its relaxed geometry (PBE-GGA, Alexandria).

```
6
Lattice="-2.298 3.005 -2.328 -1.375 -4.221 0.146 -2.983 1.124 4.395" Properties=species:S:1:pos:R:3 pbc="T T T"
Tm 0.000 0.000 0.000
Zn -2.967 0.964 -0.064
Zn -3.689 -1.056 2.277
Rh -1.491 0.562 2.197
Rh -4.399 1.504 2.046
Rh -2.257 -1.596 0.167
```

Summary:
space-group type = P-3m1 (164)

What total energy values result from the calculations? In sequence: -5.08, -6.26, -5.77, -5.47 eV per atom.